# 1
Material: ErMoN
Method: DFT, PBE
State: relaxed

Lattice parameters (Å, degrees): 10.9500 3.1291 5.4166 90.00 90.00 90.00
Space group Amm2 (No. 38)
Inequivalent atoms, fractional coordinates:
Er: 0.1372 0.0000 0.0000 [4 per cell]
Mo: 0.3817 0.0000 0.3357 [4 per cell]
N: 0.0000 0.0000 0.3330 [2 per cell]
N: 0.5000 0.0000 0.0024 [2 per cell]

Calculated values
E_form (uncorrected)	-21	kJ/mol of atoms
DOS at the Fermi energy	3.35	states/eV/f.u.
crystal system	orthorhombic


# 2
Material: PmTlZnO4
Method: DFT, PBE
State: relaxed

Lattice parameters (Å, degrees): 6.5845 6.8778 9.4073 90.00 90.00 90.00
Space group Imma (No. 74)
Inequivalent atoms, fractional coordinates:
Pm: 0.0000 0.0000 0.0000 [4 per cell]
Tl: 0.2500 0.2500 0.2500 [4 per cell]
Zn: 0.0000 0.2500 0.6158 [4 per cell]
O: 0.0000 0.0075 0.2538 [8 per cell]
O: 0.2423 0.2500 0.9992 [8 per cell]

Calculated values
E_form (uncorrected)	-165	kJ/mol of atoms
crystal system	orthorhombic


# 3
Material: Ba2MnIr2
Method: DFT, PBE
State: relaxed

Lattice parameters (Å, degrees): 3.6861 3.6861 20.7703 90.00 90.00 90.00
Space group I4/mmm (No. 139)
Inequivalent atoms, fractional coordinates:
Ba: 0.0000 0.0000 0.1182 [4 per cell]
Mn: 0.0000 0.0000 0.5000 [2 per cell]
Ir: 0.0000 0.5000 0.2500 [4 per cell]

Calculated values
DOS at the Fermi energy	8.41	states/eV/f.u.
crystal system	tetragonal
E_form	525	meV/atom


# 4
Material: BeTcMoRu
Method: DFT, PBE
State: relaxed

Lattice parameters (Å, degrees): 6.0053 6.0053 6.0053 90.00 90.00 90.00
Space group F-43m (No. 216)
Inequivalent atoms, fractional coordinates:
Be: 0.0000 0.0000 0.0000 [4 per cell]
Tc: 0.2500 0.2500 0.7500 [4 per cell]
Mo: 0.0000 0.0000 0.5000 [4 per cell]
Ru: 0.2500 0.2500 0.2500 [4 per cell]

Calculated values
DOS at the Fermi energy	2.96	states/eV/f.u.
crystal system	cubic
E_form	-51	meV/atom


# 5
Material: CeHoNiRh
Method: DFT, PBE
State: relaxed

Lattice parameters (Å, degrees): 4.4693 3.6755 10.0487 90.00 90.00 90.00
Space group Amm2 (No. 38)
Inequivalent atoms, fractional coordinates:
Ce: 0.0000 0.0000 0.0000 [2 per cell]
Ho: 0.5000 0.0000 0.2787 [2 per cell]
Ni: 0.5000 0.0000 0.5592 [2 per cell]
Rh: 0.0000 0.0000 0.7332 [2 per cell]

Calculated values
ΔE to the lowest computed polymorph	0	meV/atom
DOS at the Fermi energy	4.29	states/eV/f.u.
crystal system	orthorhombic
E_form	-617	meV/atom


# 6
Material: Be2SiSb
Method: DFT, PBE
State: relaxed

Lattice parameters (Å, degrees): 7.0918 3.5627 5.0431 90.00 97.99 90.00
Space group C2/m (No. 12)
Inequivalent atoms, fractional coordinates:
Be: 0.2102 0.0000 0.1210 [4 per cell]
Si: 0.0000 0.5000 0.0000 [2 per cell]
Sb: 0.0000 0.0000 0.5000 [2 per cell]

Calculated values
ΔE to the lowest computed polymorph	85	meV/atom
E_form (uncorrected)	39	kJ/mol of atoms
DOS at the Fermi energy	1.21	states/eV/f.u.
crystal system	monoclinic


Number 1: spin magnetization 0.0041 μB/atom. Number 2: spin magnetization 0.0000 μB/atom. Number 3: spin magnetization 0.7800 μB/atom. Number 4: spin magnetization 0.0000 μB/atom. Number 5: spin magnetization 0.0056 μB/atom. Number 6: spin magnetization 0.0000 μB/atom.